Entry 1:
A relaxed Ba2EuHg crystal, computed with GGA-PBE.

It has space group R-3m (No. 166, hexagonal axes), with a = 4.1957 Å, b = 4.1957 Å, c = 41.2735 Å, α = 90.00°, β = 90.00° and γ = 120.00°. Symmetry generates all atoms from Ba at (0.0000, 0.0000, 0.0837), Eu at (0.0000, 0.0000, 0.5000) and Hg at (0.0000, 0.0000, 0.0000).

The magnetization comes out at 1.8662 μB/atom. As for the crystal system: trigonal. The energy above the lowest structure with this stoichiometry comes out at 1.341 eV/f.u. The calculation puts the energy of formation at 0.396 eV per formula unit. As for the calculated total energy: -3.51 eV per atom.

Entry 2:
A relaxed BaEuHg2 crystal, computed with GGA-PBE.

It has space group P4/mmm (No. 123), with a = 4.0331 Å, b = 4.0331 Å, c = 8.1301 Å, α = 90.00°, β = 90.00° and γ = 90.00°. Symmetry generates all atoms from Ba at (0.0000, 0.0000, 0.0000), Eu at (0.0000, 0.0000, 0.5000) and Hg at (0.5000, 0.5000, 0.2754).

The magnetization comes out at 1.7944 μB/atom. As for the crystal system: tetragonal. The calculation puts the energy of formation at -2.105 eV per formula unit. As for the calculated total energy: -3.73 eV per atom.

energy of formation of number 1 (Ba2EuHg)?
0.396 eV per formula unit

What is the energy of formation in the first record?
0.396 eV per formula unit